No. 1
# GGA-PBE YMg2Ta, optimized geometry
# energy above the lowest structure with this stoichiometry	115	meV/atom
# N(E_F)	3.595	states/eV/f.u.
# electronic total energy	-5.0760	eV per atom
# volume	272.3	Å³ per cell
# total magnetic moment	0.00	Bohr magnetons per cell
# DFT formation energy	300	meV per atom
data_YMg2Ta
_chemical_formula_sum 'Y3 Mg6 Ta3'
_symmetry_space_group_name_H-M 'R -3 m'
_symmetry_Int_Tables_number 166
_symmetry_space_group_name_Hall '-R 3 2"'
_cell_length_a 3.0927
_cell_length_b 3.0927
_cell_length_c 32.8685
_cell_angle_alpha 90.00
_cell_angle_beta 90.00
_cell_angle_gamma 120.00
loop_
_atom_site_label
_atom_site_type_symbol
_atom_site_fract_x
_atom_site_fract_y
_atom_site_fract_z
Y1 Y 0.0000 0.0000 0.0000
Mg1 Mg 0.0000 0.0000 0.2436
Ta1 Ta 0.0000 0.0000 0.5000

No. 2
# GGA-PBE YMg4Ta, optimized geometry
# N(E_F)	3.752	states/eV/f.u.
# electronic total energy	-3.8419	eV per atom
# volume	538.9	Å³ per cell
# total magnetic moment	11.59	Bohr magnetons per cell
# DFT formation energy	274	meV per atom
data_YMg4Ta
_chemical_formula_sum 'Y4 Mg16 Ta4'
_symmetry_space_group_name_H-M 'F -4 3 m'
_symmetry_Int_Tables_number 216
_symmetry_space_group_name_Hall 'F -4 2 3'
_cell_length_a 8.138
_cell_length_b 8.138
_cell_length_c 8.138
_cell_angle_alpha 90.00
_cell_angle_beta 90.00
_cell_angle_gamma 90.00
loop_
_atom_site_label
_atom_site_type_symbol
_atom_site_fract_x
_atom_site_fract_y
_atom_site_fract_z
Y1 Y 0.000 0.000 0.000
Mg1 Mg 0.124 0.124 0.624
Ta1 Ta 0.250 0.250 0.250

No. 3
# GGA-PBE YMgTa2, optimized geometry
# N(E_F)	3.609	states/eV/f.u.
# electronic total energy	-7.5499	eV per atom
# volume	169.4	Å³ per cell
# total magnetic moment	0.00	Bohr magnetons per cell
# DFT formation energy	391	meV per atom
data_YMgTa2
_chemical_formula_sum 'Y2 Mg2 Ta4'
_symmetry_space_group_name_H-M 'I m m m'
_symmetry_Int_Tables_number 71
_symmetry_space_group_name_Hall '-I 2 2'
_cell_length_a 3.409
_cell_length_b 4.768
_cell_length_c 10.423
_cell_angle_alpha 90.00
_cell_angle_beta 90.00
_cell_angle_gamma 90.00
loop_
_atom_site_label
_atom_site_type_symbol
_atom_site_fract_x
_atom_site_fract_y
_atom_site_fract_z
Y1 Y 0.000 0.000 0.000
Mg1 Mg 0.000 0.000 0.500
Ta1 Ta 0.000 0.500 0.238

No. 4
# GGA-PBE YMg2Ta, optimized geometry
# energy above the lowest structure with this stoichiometry	70	meV/atom
# N(E_F)	4.211	states/eV/f.u.
# electronic total energy	-5.1213	eV per atom
# volume	89.6	Å³ per cell
# total magnetic moment	0.00	Bohr magnetons per cell
# DFT formation energy	255	meV per atom
data_YMg2Ta
_chemical_formula_sum 'Y1 Mg2 Ta1'
_symmetry_space_group_name_H-M 'P 4/m m m'
_symmetry_Int_Tables_number 123
_symmetry_space_group_name_Hall '-P 4 2'
_cell_length_a 3.072
_cell_length_b 3.072
_cell_length_c 9.488
_cell_angle_alpha 90.00
_cell_angle_beta 90.00
_cell_angle_gamma 90.00
loop_
_atom_site_label
_atom_site_type_symbol
_atom_site_fract_x
_atom_site_fract_y
_atom_site_fract_z
Y1 Y 0.000 0.000 0.000
Mg1 Mg 0.500 0.500 0.277
Ta1 Ta 0.000 0.000 0.500

No. 5
# GGA-PBE YMg2Ta, optimized geometry
# energy above the lowest structure with this stoichiometry	214	meV/atom
# N(E_F)	5.423	states/eV/f.u.
# electronic total energy	-4.9775	eV per atom
# volume	180.1	Å³ per cell
# total magnetic moment	0.00	Bohr magnetons per cell
# DFT formation energy	399	meV per atom
data_YMg2Ta
_chemical_formula_sum 'Y2 Mg4 Ta2'
_symmetry_space_group_name_H-M 'I -4 m 2'
_symmetry_Int_Tables_number 119
_symmetry_space_group_name_Hall 'I -4 -2'
_cell_length_a 4.448
_cell_length_b 4.448
_cell_length_c 9.102
_cell_angle_alpha 90.00
_cell_angle_beta 90.00
_cell_angle_gamma 90.00
loop_
_atom_site_label
_atom_site_type_symbol
_atom_site_fract_x
_atom_site_fract_y
_atom_site_fract_z
Y1 Y 0.000 0.000 0.000
Mg1 Mg 0.000 0.000 0.500
Mg2 Mg 0.000 0.500 0.750
Ta1 Ta 0.000 0.500 0.250

No. 6
# GGA-PBE YMg2Ta, optimized geometry
# energy above the lowest structure with this stoichiometry	150	meV/atom
# N(E_F)	3.924	states/eV/f.u.
# electronic total energy	-5.0409	eV per atom
# volume	177.6	Å³ per cell
# total magnetic moment	0.00	Bohr magnetons per cell
# DFT formation energy	336	meV per atom
data_YMg2Ta
_chemical_formula_sum 'Y2 Mg4 Ta2'
_symmetry_space_group_name_H-M 'C m m m'
_symmetry_Int_Tables_number 65
_symmetry_space_group_name_Hall '-C 2 2'
_cell_length_a 6.346
_cell_length_b 9.113
_cell_length_c 3.071
_cell_angle_alpha 90.00
_cell_angle_beta 90.00
_cell_angle_gamma 90.00
loop_
_atom_site_label
_atom_site_type_symbol
_atom_site_fract_x
_atom_site_fract_y
_atom_site_fract_z
Y1 Y 0.000 0.000 0.000
Mg1 Mg 0.250 0.250 0.500
Ta1 Ta 0.000 0.500 0.000

No. 7
# GGA-PBE YMgTa2, optimized geometry
# N(E_F)	4.893	states/eV/f.u.
# electronic total energy	-7.5706	eV per atom
# volume	334.0	Å³ per cell
# total magnetic moment	0.00	Bohr magnetons per cell
# DFT formation energy	370	meV per atom
data_YMgTa2
_chemical_formula_sum 'Y4 Mg4 Ta8'
_symmetry_space_group_name_H-M 'F -4 3 m'
_symmetry_Int_Tables_number 216
_symmetry_space_group_name_Hall 'F -4 2 3'
_cell_length_a 6.938
_cell_length_b 6.938
_cell_length_c 6.938
_cell_angle_alpha 90.00
_cell_angle_beta 90.00
_cell_angle_gamma 90.00
loop_
_atom_site_label
_atom_site_type_symbol
_atom_site_fract_x
_atom_site_fract_y
_atom_site_fract_z
Y1 Y 0.000 0.000 0.000
Mg1 Mg 0.250 0.250 0.750
Ta1 Ta 0.000 0.000 0.500
Ta2 Ta 0.250 0.250 0.250

No. 8
# GGA-PBE YMgTa2, optimized geometry
# N(E_F)	4.629	states/eV/f.u.
# electronic total energy	-7.7532	eV per atom
# volume	90.5	Å³ per cell
# total magnetic moment	0.00	Bohr magnetons per cell
# DFT formation energy	188	meV per atom
data_YMgTa2
_chemical_formula_sum 'Y1 Mg1 Ta2'
_symmetry_space_group_name_H-M 'P 4 m m'
_symmetry_Int_Tables_number 99
_symmetry_space_group_name_Hall 'P 4 -2'
_cell_length_a 3.514
_cell_length_b 3.514
_cell_length_c 7.330
_cell_angle_alpha 90.00
_cell_angle_beta 90.00
_cell_angle_gamma 90.00
loop_
_atom_site_label
_atom_site_type_symbol
_atom_site_fract_x
_atom_site_fract_y
_atom_site_fract_z
Y1 Y 0.000 0.000 0.000
Mg1 Mg 0.500 0.500 0.314
Ta1 Ta 0.000 0.000 0.558
Ta2 Ta 0.500 0.500 0.724

No. 9
# GGA-PBE YMgTa, optimized geometry
# energy above the lowest structure with this stoichiometry	80	meV/atom
# N(E_F)	2.349	states/eV/f.u.
# electronic total energy	-6.2971	eV per atom
# volume	70.1	Å³ per cell
# total magnetic moment	0.00	Bohr magnetons per cell
# DFT formation energy	340	meV per atom
data_YMgTa
_chemical_formula_sum 'Y1 Mg1 Ta1'
_symmetry_space_group_name_H-M 'P 3 m 1'
_symmetry_Int_Tables_number 156
_symmetry_space_group_name_Hall 'P 3 -2"'
_cell_length_a 3.1968
_cell_length_b 3.1968
_cell_length_c 7.9219
_cell_angle_alpha 90.00
_cell_angle_beta 90.00
_cell_angle_gamma 120.00
loop_
_atom_site_label
_atom_site_type_symbol
_atom_site_fract_x
_atom_site_fract_y
_atom_site_fract_z
Y1 Y 0.0000 0.0000 0.0000
Mg1 Mg 0.6667 0.3333 0.3746
Ta1 Ta 0.3333 0.6667 0.6843

No. 10
# GGA-PBE YMg2Ta, optimized geometry
# energy above the lowest structure with this stoichiometry	114	meV/atom
# N(E_F)	3.429	states/eV/f.u.
# electronic total energy	-5.0775	eV per atom
# volume	182.2	Å³ per cell
# total magnetic moment	0.00	Bohr magnetons per cell
# DFT formation energy	299	meV per atom
data_YMg2Ta
_chemical_formula_sum 'Y2 Mg4 Ta2'
_symmetry_space_group_name_H-M 'C 1 2/m 1'
_symmetry_Int_Tables_number 12
_symmetry_space_group_name_Hall '-C 2y'
_cell_length_a 10.949
_cell_length_b 3.052
_cell_length_c 5.517
_cell_angle_alpha 90.00
_cell_angle_beta 98.73
_cell_angle_gamma 90.00
loop_
_atom_site_label
_atom_site_type_symbol
_atom_site_fract_x
_atom_site_fract_y
_atom_site_fract_z
Y1 Y 0.000 0.000 0.000
Mg1 Mg 0.241 0.000 0.729
Ta1 Ta 0.000 0.500 0.500

No. 11
# GGA-PBE YMg2Ta, optimized geometry
# energy above the lowest structure with this stoichiometry	174	meV/atom
# N(E_F)	2.660	states/eV/f.u.
# electronic total energy	-5.0175	eV per atom
# volume	354.1	Å³ per cell
# total magnetic moment	0.00	Bohr magnetons per cell
# DFT formation energy	359	meV per atom
data_YMg2Ta
_chemical_formula_sum 'Y4 Mg8 Ta4'
_symmetry_space_group_name_H-M 'F m -3 m'
_symmetry_Int_Tables_number 225
_symmetry_space_group_name_Hall '-F 4 2 3'
_cell_length_a 7.075
_cell_length_b 7.075
_cell_length_c 7.075
_cell_angle_alpha 90.00
_cell_angle_beta 90.00
_cell_angle_gamma 90.00
loop_
_atom_site_label
_atom_site_type_symbol
_atom_site_fract_x
_atom_site_fract_y
_atom_site_fract_z
Y1 Y 0.000 0.000 0.000
Mg1 Mg 0.250 0.250 0.250
Ta1 Ta 0.000 0.000 0.500

No. 12
# GGA-PBE YMg2Ta, optimized geometry
# energy above the lowest structure with this stoichiometry	135	meV/atom
# N(E_F)	3.236	states/eV/f.u.
# electronic total energy	-5.0564	eV per atom
# volume	90.3	Å³ per cell
# total magnetic moment	0.00	Bohr magnetons per cell
# DFT formation energy	320	meV per atom
data_YMg2Ta
_chemical_formula_sum 'Y1 Mg2 Ta1'
_symmetry_space_group_name_H-M 'P 1 2/m 1'
_symmetry_Int_Tables_number 10
_symmetry_space_group_name_Hall '-P 2y'
_cell_length_a 2.973
_cell_length_b 5.387
_cell_length_c 5.665
_cell_angle_alpha 90.00
_cell_angle_beta 95.86
_cell_angle_gamma 90.00
loop_
_atom_site_label
_atom_site_type_symbol
_atom_site_fract_x
_atom_site_fract_y
_atom_site_fract_z
Y1 Y 0.000 0.000 0.000
Mg1 Mg 0.273 0.500 0.731
Ta1 Ta 0.500 0.000 0.500

No. 13
# GGA-PBE YMgTa2, optimized geometry
# N(E_F)	4.780	states/eV/f.u.
# electronic total energy	-7.5551	eV per atom
# volume	169.1	Å³ per cell
# total magnetic moment	0.00	Bohr magnetons per cell
# DFT formation energy	386	meV per atom
data_YMgTa2
_chemical_formula_sum 'Y2 Mg2 Ta4'
_symmetry_space_group_name_H-M 'C 1 2/m 1'
_symmetry_Int_Tables_number 12
_symmetry_space_group_name_Hall '-C 2y'
_cell_length_a 10.770
_cell_length_b 3.092
_cell_length_c 5.210
_cell_angle_alpha 90.00
_cell_angle_beta 102.84
_cell_angle_gamma 90.00
loop_
_atom_site_label
_atom_site_type_symbol
_atom_site_fract_x
_atom_site_fract_y
_atom_site_fract_z
Y1 Y 0.000 0.000 0.000
Mg1 Mg 0.000 0.500 0.500
Ta1 Ta 0.240 0.000 0.736

No. 14
# GGA-PBE YMg2Ta, optimized geometry
# energy above the lowest structure with this stoichiometry	100	meV/atom
# N(E_F)	3.545	states/eV/f.u.
# electronic total energy	-5.0910	eV per atom
# volume	181.3	Å³ per cell
# total magnetic moment	0.00	Bohr magnetons per cell
# DFT formation energy	285	meV per atom
data_YMg2Ta
_chemical_formula_sum 'Y2 Mg4 Ta2'
_symmetry_space_group_name_H-M 'C 1 m 1'
_symmetry_Int_Tables_number 8
_symmetry_space_group_name_Hall 'C -2y'
_cell_length_a 11.177
_cell_length_b 3.168
_cell_length_c 5.537
_cell_angle_alpha 90.00
_cell_angle_beta 112.41
_cell_angle_gamma 90.00
loop_
_atom_site_label
_atom_site_type_symbol
_atom_site_fract_x
_atom_site_fract_y
_atom_site_fract_z
Y1 Y 0.000 0.000 0.000
Mg1 Mg 0.019 0.500 0.514
Mg2 Mg 0.268 0.500 0.376
Ta1 Ta 0.249 0.000 0.860

No. 15
# GGA-PBE YMg3Ta, optimized geometry
# energy above the lowest structure with this stoichiometry	0	meV/atom
# N(E_F)	3.152	states/eV/f.u.
# electronic total energy	-3.6427	eV per atom
# volume	144.0	Å³ per cell
# total magnetic moment	2.16	Bohr magnetons per cell
# DFT formation energy	977	meV per atom
data_YMg3Ta
_chemical_formula_sum 'Y1 Mg3 Ta1'
_symmetry_space_group_name_H-M 'P m -3 m'
_symmetry_Int_Tables_number 221
_symmetry_space_group_name_Hall '-P 4 2 3'
_cell_length_a 5.242
_cell_length_b 5.242
_cell_length_c 5.242
_cell_angle_alpha 90.00
_cell_angle_beta 90.00
_cell_angle_gamma 90.00
loop_
_atom_site_label
_atom_site_type_symbol
_atom_site_fract_x
_atom_site_fract_y
_atom_site_fract_z
Y1 Y 0.000 0.000 0.000
Mg1 Mg 0.000 0.500 0.500
Ta1 Ta 0.500 0.500 0.500